(1)
Entry from the Alexandria database: LiCoPO4 after structural relaxation (PBE+U).

space group	Pc (7)
crystal system	monoclinic
total moment	3.0	μB/f.u.
DOS at the Fermi energy	0.00	states/eV/f.u.

```
28
Lattice="8.043 0.000 0.000 0.000 5.326 0.000 -2.200 0.000 8.121" Properties=species:S:1:pos:R:3 pbc="T T T"
Li 0.000 0.857 0.000
Li -1.100 4.470 4.060
Li 2.546 1.772 5.556
Li 3.646 3.554 1.496
Co 0.040 1.840 3.012
Co -1.060 3.486 7.073
Co 4.873 0.886 0.534
Co 3.773 4.440 4.594
P 2.420 0.881 2.482
P 1.320 4.445 6.542
P 5.643 1.756 5.046
P 6.743 3.570 0.986
O -1.673 1.747 6.431
O -0.574 3.580 2.370
O 1.174 0.918 1.547
O 0.074 4.408 5.607
O 1.885 1.597 3.767
O 0.785 3.729 7.827
O 1.794 0.562 6.887
O 2.894 4.764 2.827
O 3.615 1.653 1.856
O 2.515 3.673 5.916
O 4.331 0.952 5.175
O 5.431 4.374 1.115
O 6.482 2.079 0.593
O 5.382 3.247 4.653
O 6.548 1.079 3.972
O 5.448 4.248 8.033
```


(2)
Entry from the Alexandria database: LiCoPO4 after structural relaxation (PBE+U).

space group	P-1 (2)
crystal system	triclinic
total moment	3.0	μB/f.u.
DOS at the Fermi energy	0.00	states/eV/f.u.

```
28
Lattice="5.174 0.000 0.000 1.662 7.737 0.000 0.451 0.274 8.766" Properties=species:S:1:pos:R:3 pbc="T T T"
Li 1.535 3.676 1.325
Li 2.591 7.290 2.325
Li 4.695 0.721 6.441
Li 5.752 4.335 7.441
Co 2.607 5.518 5.162
Co 2.331 1.648 8.291
Co 4.956 6.362 0.475
Co 4.679 2.493 3.604
P 2.022 2.450 5.370
P 2.977 6.333 8.079
P 4.310 1.678 0.687
P 5.264 5.561 3.396
O 1.518 6.166 3.612
O 1.444 5.242 0.091
O 2.386 6.785 6.722
O 1.854 3.877 5.997
O 2.939 7.283 0.214
O 2.777 2.533 4.034
O 2.807 1.555 6.378
O 2.998 2.488 0.834
O 4.289 5.523 7.931
O 4.479 6.456 2.387
O 4.509 5.478 4.732
O 4.348 0.728 8.552
O 5.433 4.134 2.769
O 4.901 1.226 2.044
O 5.843 2.769 8.675
O 5.768 1.845 5.154
```


Most stable structure, least stable structure: (2), (1).